VASP calculation (SCAN) on a crystal of CsNaSc3 relaxed with PBEsol.

Results
DFT total energy: -15.586 eV per atom
E_form: 1.361 eV/atom
symmetry: Pm-3m

Lattice parameters (Å, degrees): 5.345 5.345 5.345 90.00 90.00 90.00
Sites, in units of the cell vectors:
Sc 0.000 0.500 0.000
Sc 0.500 0.000 0.000
Cs 0.000 0.000 0.000
Sc 0.000 0.000 0.500
Na 0.500 0.500 0.500

VASP calculation (SCAN) on a crystal of CsNa2Se2 relaxed with PBEsol.

Results
DFT total energy: -18.236 eV per atom
E_form (uncorrected): -4.78 eV/f.u.
symmetry: P4/mbm

Lattice parameters (Å, degrees): 3.393 9.110 9.110 90.00 90.00 90.00
Sites, in units of the cell vectors:
Na 0.500 0.876 0.376
Se 0.000 0.338 0.838
Na 0.500 0.624 0.876
Cs 0.000 0.500 0.500
Se 0.000 0.662 0.162
Se 0.000 0.838 0.662
Se 0.000 0.162 0.338
Na 0.500 0.376 0.124
Cs 0.000 0.000 0.000
Na 0.500 0.124 0.624

VASP calculation (SCAN) on a crystal of CsNaSe2 relaxed with PBEsol.

Results
DFT total energy: -20.837 eV per atom
E_form (uncorrected): -1.17 eV/f.u.
symmetry: R-3m

Lattice parameters (Å, degrees): 3.683 3.683 11.082 80.43 80.43 60.00
Sites, in units of the cell vectors:
Se 0.918 0.918 0.245
Se 0.082 0.082 0.755
Na 0.000 0.000 0.000
Cs 0.500 0.500 0.500

VASP calculation (SCAN) on a crystal of CsNa2Si relaxed with PBEsol.

Results
DFT total energy: -13.726 eV per atom
E_form (uncorrected): 1.35 eV/f.u.
symmetry: I4_1/amd

Lattice parameters (Å, degrees): 6.092 6.092 10.636 106.64 106.64 90.00
Last column: magnetic moment on the atom in μB.
Sites, in units of the cell vectors:
Na 0.625 0.375 0.250  0.00
Cs 0.000 0.000 0.000  0.01
Si 0.500 0.500 0.000  0.27
Na 0.625 0.875 0.250  0.00
Si 0.750 0.250 0.500  0.27
Na 0.625 0.375 0.750  0.00
Na 0.125 0.375 0.750  0.00
Cs 0.250 0.750 0.500  0.01